1.
Compound: Ga2PtPb
Source: the Alexandria database
Functional: GGA-PBE
Structure: optimized geometry

```
Ga2PtPb
1.0
4.594 0.000 0.000
0.000 4.594 0.000
2.297 2.297 8.529
Ga Pb Pt
4 2 2
Direct
0.375 0.471 0.750
0.221 0.625 0.250
0.529 0.125 0.250
0.875 0.779 0.750
0.750 0.250 0.500
0.000 0.000 0.000
0.250 0.750 0.500
0.500 0.500 0.000
```

uncorrected energy: -4.084 eV per atom
ΔE_f: -0.1328 eV/atom
total magnetization: 0.000 μB per formula unit
D(E_F): 3.1 states/eV per cell

=====

2.
Compound: GaPt2Pb
Source: the Alexandria database
Functional: GGA-PBE
Structure: optimized geometry

```
GaPt2Pb
1.0
-0.377 1.394 3.898
-1.675 -2.433 2.924
4.158 -2.285 3.435
Pt Ga Pb
2 1 1
Direct
0.054 0.054 0.837
0.276 0.276 0.173
0.675 0.675 0.974
0.495 0.495 0.516
```

uncorrected energy: -4.985 eV per atom
ΔE_f: -0.2811 eV/atom
total magnetization: 0.000 μB per formula unit
D(E_F): 1.9 states/eV per cell

=====

3.
Compound: GaPt2Pb
Source: the Alexandria database
Functional: GGA-PBE
Structure: optimized geometry

```
GaPt2Pb
1.0
-2.848 -2.134 3.054
3.090 0.796 3.437
-3.487 6.434 4.845
Ga Pt Pb
2 4 2
Direct
0.500 0.500 0.000
0.250 0.750 0.500
0.551 0.125 0.250
0.375 0.449 0.750
0.199 0.625 0.250
0.875 0.801 0.750
0.000 0.000 0.000
0.750 0.250 0.500
```

uncorrected energy: -4.771 eV per atom
ΔE_f: -0.0669 eV/atom
total magnetization: 0.000 μB per formula unit
D(E_F): 5.1 states/eV per cell

=====

4.
Compound: GaPt2Pb2
Source: the Alexandria database
Functional: GGA-PBE
Structure: optimized geometry

```
GaPt2Pb2
1.0
-4.620 -3.456 -3.407
3.435 -5.652 1.074
-2.492 -0.731 4.121
Pb Pt Ga
4 4 2
Direct
0.171 0.671 0.500
0.829 0.329 0.500
0.671 0.829 0.500
0.329 0.171 0.500
0.147 0.353 0.000
0.353 0.853 0.000
0.853 0.647 0.000
0.647 0.147 0.000
0.000 0.000 0.000
0.500 0.500 0.000
```

uncorrected energy: -4.658 eV per atom
energy above the most stable polymorph in this dataset: 0.0 kJ/mol of atoms
ΔE_f: -0.1532 eV/atom
total magnetization: 0.000 μB per formula unit
D(E_F): 4.6 states/eV per cell

=====

5.
Compound: GaPt3Pb
Source: the Alexandria database
Functional: GGA-PBE
Structure: optimized geometry

```
GaPt3Pb
1.0
4.739 0.000 0.000
0.000 4.739 0.000
0.000 0.000 4.739
Pt Pb Ga
3 1 1
Direct
0.000 0.500 0.000
0.500 0.000 0.000
0.000 0.000 0.500
0.500 0.500 0.500
0.000 0.000 0.000
```

uncorrected energy: -4.757 eV per atom
energy above the most stable polymorph in this dataset: 0.0 kJ/mol of atoms
ΔE_f: 0.2143 eV/atom
total magnetization: 0.000 μB per formula unit
D(E_F): 2.4 states/eV per cell

=====

6.
Compound: GaPt2Pb
Source: the Alexandria database
Functional: GGA-PBE
Structure: optimized geometry

```
GaPt2Pb
1.0
-0.661 -3.749 2.758
-1.960 0.519 4.241
-4.349 -1.599 0.790
Pt Pb Ga
2 1 1
Direct
0.750 0.750 0.750
0.250 0.250 0.250
0.500 0.500 0.500
0.000 0.000 0.000
```

uncorrected energy: -4.804 eV per atom
ΔE_f: -0.1003 eV/atom
total magnetization: 0.000 μB per formula unit
D(E_F): 1.7 states/eV per cell

=====

7.
Compound: GaPt3Pb
Source: the Alexandria database
Functional: GGA-PBE
Structure: optimized geometry

```
GaPt3Pb
1.0
5.129 0.000 0.000
0.000 5.129 0.000
0.000 0.000 5.129
Pt Pb Ga
3 1 1
Direct
0.500 0.000 0.000
0.000 0.000 0.500
0.000 0.500 0.000
0.000 0.000 0.000
0.500 0.500 0.500
```

uncorrected energy: -3.886 eV per atom
energy above the most stable polymorph in this dataset: 84.1 kJ/mol of atoms
ΔE_f: 1.0860 eV/atom
total magnetization: 0.000 μB per formula unit
D(E_F): 4.1 states/eV per cell

=====

8.
Compound: GaPt6Pb
Source: the Alexandria database
Functional: GGA-PBE
Structure: optimized geometry

```
GaPt6Pb
1.0
-2.188 -1.722 -2.930
1.443 -3.626 1.053
-6.148 -0.952 5.152
Pt Ga Pb
6 1 1
Direct
0.500 0.500 0.500
0.500 0.500 0.000
0.000 0.500 0.733
0.500 0.000 0.267
0.000 0.500 0.267
0.500 0.000 0.733
0.000 0.000 0.500
0.000 0.000 0.000
```

uncorrected energy: -5.658 eV per atom
ΔE_f: -0.2852 eV/atom
total magnetization: 0.000 μB per formula unit
D(E_F): 5.8 states/eV per cell

=====

9.
Compound: GaPt2Pb
Source: the Alexandria database
Functional: GGA-PBE
Structure: optimized geometry

```
GaPt2Pb
1.0
-0.733 3.092 -0.006
-1.058 -0.245 2.987
6.685 1.590 2.498
Ga Pb Pt
1 1 2
Direct
0.500 0.500 0.000
0.500 0.500 0.500
0.000 0.000 0.805
0.000 0.000 0.195
```

uncorrected energy: -5.002 eV per atom
ΔE_f: -0.2975 eV/atom
total magnetization: 0.000 μB per formula unit
D(E_F): 1.2 states/eV per cell

=====

10.
Compound: Ga3PtPb
Source: the Alexandria database
Functional: GGA-PBE
Structure: optimized geometry

```
Ga3PtPb
1.0
-3.381 3.001 1.899
-3.498 -2.361 -2.497
-0.613 -3.076 3.769
Ga Pb Pt
3 1 1
Direct
0.000 0.500 0.000
0.000 0.000 0.500
0.500 0.000 0.000
0.500 0.500 0.500
0.000 0.000 0.000
```

uncorrected energy: -3.878 eV per atom
energy above the most stable polymorph in this dataset: 0.0 kJ/mol of atoms
ΔE_f: -0.1125 eV/atom
total magnetization: 0.000 μB per formula unit
D(E_F): 3.3 states/eV per cell

=====

11.
Compound: Sr2Ga3Pt4Pb
Source: the Alexandria database
Functional: GGA-PBE
Structure: optimized geometry

```
Sr2Ga3Pt4Pb
1.0
4.561 0.000 0.000
0.000 4.561 0.000
0.000 0.000 10.413
Ga Sr Pt Pb
3 2 4 1
Direct
0.500 0.000 0.886
0.000 0.500 0.114
0.000 0.000 0.500
0.500 0.000 0.236
0.000 0.500 0.764
0.000 0.500 0.354
0.500 0.500 0.000
0.000 0.000 0.000
0.500 0.000 0.646
0.500 0.500 0.500
```

uncorrected energy: -4.791 eV per atom
ΔE_f: -0.7598 eV/atom
total magnetization: 0.000 μB per formula unit
D(E_F): 3.9 states/eV per cell

=====

12.
Compound: Ta2GaPtPb
Source: the Alexandria database
Functional: GGA-PBE
Structure: optimized geometry

```
Ta2GaPtPb
1.0
-1.258 3.797 3.301
-3.980 0.995 -2.662
-2.739 -3.371 2.834
Pb Ta Ga Pt
1 2 1 1
Direct
0.000 0.000 0.000
0.500 0.000 0.000
0.000 0.000 0.500
0.000 0.500 0.000
0.500 0.500 0.500
```

uncorrected energy: -5.067 eV per atom
ΔE_f: 2.2291 eV/atom
total magnetization: 1.756 μB per formula unit
D(E_F): 6.1 states/eV per cell